[1]
VASP calculation (PBE-GGA) on K2MgCrN after structural relaxation.

Values from the calculation:
- D(E_F): 0.483 states/eV/atom
- Total magnetic moment: 0.570 μB/atom
- Raw formation energy: 373.2 meV per atom

Lattice parameters (Å, degrees): 6.766 6.766 3.665 90.00 90.00 90.00
Space group P4/mmm (No. 123)
One atom of each set of equivalent atoms:
K  0.000  0.500  0.000 x2
Mg  0.000  0.000  0.500 x1
Cr  0.500  0.500  0.000 x1
N  0.500  0.500  0.500 x1

[2]
VASP calculation (PBE-GGA) on SrPb2Br after structural relaxation.

Values from the calculation:
- D(E_F): 0.318 states/eV/atom
- Polymorph energy (0 for the lowest one): 159.4 meV per atom
- Total magnetic moment: 0.000 μB/atom
- Raw formation energy: -606.5 meV per atom

Lattice parameters (Å, degrees): 5.490 5.815 8.030 90.00 90.00 90.00
Space group Imm2 (No. 44)
One atom of each set of equivalent atoms:
Sr  0.000  0.000  0.000 x2
Pb  0.000  0.000  0.492 x2
Pb  0.000  0.500  0.237 x2
Br  0.000  0.500  0.722 x2

[3]
VASP calculation (PBE-GGA) on PaNb2Te5 after structural relaxation.

Values from the calculation:
- D(E_F): 0.650 states/eV/atom
- Total magnetic moment: 0.144 μB/atom
- Raw formation energy: -350.8 meV per atom

Lattice parameters (Å, degrees): 6.058 12.881 7.246 90.00 91.68 90.00
Space group C2/m (No. 12)
One atom of each set of equivalent atoms:
Pa  0.000  0.000  0.000 x2
Nb  0.000  0.284  0.000 x4
Te  0.000  0.500  0.000 x2
Te  0.184  0.167  0.276 x8

[4]
VASP calculation (PBE-GGA) on CeU5As6 after structural relaxation.

Values from the calculation:
- D(E_F): 2.888 states/eV/atom
- DFT formation energy: -829 meV/atom
- Total magnetic moment: 1.110 μB/atom

Lattice parameters (Å, degrees): 7.134 12.348 7.113 90.00 109.52 90.00
Space group C2/m (No. 12)
One atom of each set of equivalent atoms:
Ce  0.000  0.000  0.000 x2
U  0.000  0.165  0.500 x4
U  0.000  0.333  0.000 x4
U  0.000  0.500  0.500 x2
As  0.246  0.500  0.252 x4
As  0.247  0.331  0.747 x8

[5]
VASP calculation (PBE-GGA) on GdTl2In after structural relaxation.

Values from the calculation:
- D(E_F): 0.889 states/eV/atom
- DFT formation energy: -166 meV/atom
- Polymorph energy (0 for the lowest one): 145.9 meV per atom
- Total magnetic moment: 1.914 μB/atom

Lattice parameters (Å, degrees): 3.933 3.933 7.169 90.00 90.00 90.00
Space group P4/mmm (No. 123)
One atom of each set of equivalent atoms:
Gd  0.000  0.000  0.000 x1
Tl  0.500  0.500  0.262 x2
In  0.000  0.000  0.500 x1

[6]
VASP calculation (PBE-GGA) on PaFeAs3 after structural relaxation.

Values from the calculation:
- D(E_F): 0.496 states/eV/atom
- DFT formation energy: -494 meV/atom
- Total magnetic moment: 0.000 μB/atom

Lattice parameters (Å, degrees): 5.826 5.601 5.648 90.00 90.00 90.00
Space group Pmn2_1 (No. 31)
One atom of each set of equivalent atoms:
Pa  0.000  0.122  0.000 x2
Fe  0.000  0.616  0.257 x2
As  0.000  0.906  0.535 x2
As  0.228  0.344  0.468 x4

[7]
VASP calculation (PBE-GGA) on OsSeOF2 after structural relaxation.

Values from the calculation:
- D(E_F): 1.601 states/eV/atom
- Polymorph energy (0 for the lowest one): 0.0 meV per atom
- Total magnetic moment: 0.000 μB/atom
- Raw formation energy: -240.8 meV per atom

Lattice parameters (Å, degrees): 4.400 4.400 3.678 90.00 90.00 90.00
Space group P4/mmm (No. 123)
One atom of each set of equivalent atoms:
Os  0.000  0.000  0.000 x1
Se  0.500  0.500  0.500 x1
O  0.000  0.000  0.500 x1
F  0.000  0.500  0.000 x2

[8]
VASP calculation (PBE-GGA) on NaTiTe2 after structural relaxation.

Values from the calculation:
- D(E_F): 1.545 states/eV/atom
- Total magnetic moment: 0.250 μB/atom
- Raw formation energy: -596.0 meV per atom

Lattice parameters (Å, degrees): 7.004 7.004 12.125 90.00 90.00 90.00
Space group I-42d (No. 122)
One atom of each set of equivalent atoms:
Na  0.000  0.000  0.000 x4
Ti  0.000  0.000  0.500 x4
Te  0.195  0.250  0.625 x8

total magnetic moment of number 3 (PaNb2Te5)?
0.144 μB/atom